No. 1
# Mg2GaTeBr, relaxed, DFT PBE
data_Mg2GaTeBr
_space_group_name_H-M_alt 'P 4/m m m'
_space_group_IT_number 123
_space_group_name_Hall '-P 4 2'
_cell_length_a 5.142
_cell_length_b 5.142
_cell_length_c 6.308
_cell_angle_alpha 90.00
_cell_angle_beta 90.00
_cell_angle_gamma 90.00
loop_
_atom_site_label
_atom_site_type_symbol
_atom_site_fract_x
_atom_site_fract_y
_atom_site_fract_z
Mg1 Mg 0.000 0.500 0.000
Ga1 Ga 0.000 0.000 0.500
Te1 Te 0.500 0.500 0.500
Br1 Br 0.500 0.500 0.000
# magnetization: 0.00 μB/f.u.

***

No. 2
# Rb4Zr6CCl18, relaxed, DFT PBE
data_Rb4Zr6CCl18
_space_group_name_H-M_alt 'C 1 2/m 1'
_space_group_IT_number 12
_space_group_name_Hall '-C 2y'
_cell_length_a 10.654
_cell_length_b 17.897
_cell_length_c 10.148
_cell_angle_alpha 90.00
_cell_angle_beta 114.66
_cell_angle_gamma 90.00
loop_
_atom_site_label
_atom_site_type_symbol
_atom_site_fract_x
_atom_site_fract_y
_atom_site_fract_z
Rb1 Rb 0.107 0.162 0.320
Zr1 Zr 0.132 0.500 0.868
Zr2 Zr 0.140 0.409 0.150
C1 C 0.000 0.500 0.000
Cl1 Cl 0.000 0.298 0.000
Cl2 Cl 0.009 0.399 0.310
Cl3 Cl 0.189 0.000 0.669
Cl4 Cl 0.198 0.194 0.673
Cl5 Cl 0.199 0.102 0.979
Cl6 Cl 0.217 0.000 0.279
# magnetization: 0.00 μB/f.u.

***

No. 3
# VSBr3, relaxed, DFT PBE
data_VSBr3
_space_group_name_H-M_alt 'P m -3 m'
_space_group_IT_number 221
_space_group_name_Hall '-P 4 2 3'
_cell_length_a 5.193
_cell_length_b 5.193
_cell_length_c 5.193
_cell_angle_alpha 90.00
_cell_angle_beta 90.00
_cell_angle_gamma 90.00
loop_
_atom_site_label
_atom_site_type_symbol
_atom_site_fract_x
_atom_site_fract_y
_atom_site_fract_z
V1 V 0.000 0.000 0.000
S1 S 0.500 0.500 0.500
Br1 Br 0.000 0.500 0.500
# magnetization: 3.48 μB/f.u.
# ΔE to the lowest computed polymorph: 1319 meV/atom

***

no.,formation energy from raw total energies (meV per atom)
1,319
2,-1859
3,634